5
Lattice="-3.8307 3.8307 2.1342 3.8307 -3.8307 2.1342 3.8307 3.8307 -2.1342" Properties=species:S:1:pos:R:3 comment="KP4, relaxed, DFT GGA-PBE" formation_energy_ev_per_atom=0.109 sg="I4/m (87)" polymorph_energy_ev_per_atom=0.209 n_ef_per_ev_cell=1.67 pbc="T T T"
K 0.0000 0.0000 0.0000
P 3.2820 0.9107 0.0000
P 2.9201 -0.5487 2.1342
P 0.9107 4.3795 0.0000
P 0.5487 2.9201 2.1342

=====

12
Lattice="4.3476 0.0000 0.0000 -0.5453 4.4688 0.0000 -2.1485 -0.7698 5.4861" Properties=species:S:1:pos:R:3 comment="NpH8IrPd2, relaxed, DFT GGA-PBE" sg="P-1 (2)" n_ef_per_ev_cell=8.05 dft_energy_ev_per_atom=-4.98 pbc="T T T"
Np 0.0000 0.0000 0.0000
H -0.4819 3.0270 1.8592
H -0.0689 0.8089 2.3668
H 0.8597 2.4081 0.1798
H -0.3473 3.5287 4.1166
H 2.0012 0.1704 1.3696
H 0.7941 1.2909 5.3063
H 1.7228 2.8902 3.1194
H 2.1357 0.6720 3.6269
Ir 1.0996 -0.3849 2.7431
Pd -0.6312 1.5384 4.1034
Pd 2.2850 2.1606 1.3827

=====

24
Lattice="6.2346 0.0000 0.0000 1.3227 7.1621 0.0000 2.4519 1.3408 8.0113" Properties=species:S:1:pos:R:3 comment="Ti5Pb5O14, relaxed, DFT GGA-PBE" e_form_raw_mev_per_atom=-2219 sg="P1 (1)" pbc="T T T"
Ti 0.0000 0.0000 0.0000
Ti 3.6166 6.7396 4.6936
Ti 3.6962 4.6570 1.5622
Ti 6.0010 4.2006 6.2676
Ti 6.1259 2.0965 3.1230
Pb 2.7075 3.0245 5.0087
Pb 2.8570 1.0217 1.6548
Pb 6.6214 7.5544 6.4326
Pb 6.5531 5.5162 3.1614
Pb 8.9470 4.7308 7.8878
O 1.5066 1.1093 3.7389
O 4.0525 8.0301 6.1527
O 2.3224 3.7585 2.1310
O 2.8778 6.2188 0.5597
O 4.1215 6.0134 2.9323
O 4.8669 3.0473 6.9612
O 5.2079 5.6893 5.3740
O 6.5913 5.3087 7.7440
O 4.7995 1.1104 3.6858
O 5.2795 3.6403 2.1844
O 6.5663 3.3924 4.5883
O 6.0332 6.4344 0.4905
O 6.5473 1.4157 1.2987
O 8.4499 5.8475 5.2412